Entry 1:
First-principles (PBE) data for a geometry-optimized Ac2InSnGe structure, as listed in Alexandria.

Results
* crystal system: monoclinic
* formation energy from the elements: -0.55 eV per atom

```
data_Ac2InSnGe
_chemical_formula_sum 'Ac4 In2 Sn2 Ge2'
_cell_length_a 7.905
_cell_length_b 4.631
_cell_length_c 9.661
_cell_angle_alpha 90.00
_cell_angle_beta 106.41
_cell_angle_gamma 90.00
_symmetry_space_group_name_H-M 'P 1 21/m 1'
_symmetry_Int_Tables_number 11
_symmetry_space_group_name_Hall '-P 2yb'
loop_
_atom_site_label
_atom_site_type_symbol
_atom_site_fract_x
_atom_site_fract_y
_atom_site_fract_z
Ac1 Ac 0.179 0.250 0.403
Ac2 Ac 0.249 0.250 0.978
In1 In 0.482 0.750 0.276
Sn1 Sn 0.288 0.750 0.705
Ge1 Ge 0.142 0.750 0.171
```

=====

Entry 2:
First-principles (PBE) data for a geometry-optimized AcTbInGe structure, as listed in Alexandria.

Results
* crystal system: cubic
* formation energy from the elements: -0.43 eV per atom

```
data_AcTbInGe
_chemical_formula_sum 'Ac4 Tb4 In4 Ge4'
_cell_length_a 7.717
_cell_length_b 7.717
_cell_length_c 7.717
_cell_angle_alpha 90.00
_cell_angle_beta 90.00
_cell_angle_gamma 90.00
_symmetry_space_group_name_H-M 'F -4 3 m'
_symmetry_Int_Tables_number 216
_symmetry_space_group_name_Hall 'F -4 2 3'
loop_
_atom_site_label
_atom_site_type_symbol
_atom_site_fract_x
_atom_site_fract_y
_atom_site_fract_z
Ac1 Ac 0.000 0.000 0.000
Tb1 Tb 0.000 0.000 0.500
In1 In 0.250 0.250 0.250
Ge1 Ge 0.250 0.250 0.750
```

=====

Entry 3:
First-principles (PBE) data for a geometry-optimized Ac4InGeTe2 structure, as listed in Alexandria.

Results
* crystal system: monoclinic
* E_tot: -4.776 eV per atom

```
data_Ac4InGeTe2
_chemical_formula_sum 'Ac4 In1 Ge1 Te2'
_cell_length_a 8.186
_cell_length_b 4.664
_cell_length_c 8.377
_cell_angle_alpha 90.00
_cell_angle_beta 108.52
_cell_angle_gamma 90.00
_symmetry_space_group_name_H-M 'P 1 2/m 1'
_symmetry_Int_Tables_number 10
_symmetry_space_group_name_Hall '-P 2y'
loop_
_atom_site_label
_atom_site_type_symbol
_atom_site_fract_x
_atom_site_fract_y
_atom_site_fract_z
Ac1 Ac 0.233 0.000 0.230
Ac2 Ac 0.244 0.500 0.759
In1 In 0.500 0.000 0.000
Ge1 Ge 0.000 0.500 0.000
Te1 Te 0.000 0.000 0.500
Te2 Te 0.500 0.500 0.500
```

=====

Entry 4:
First-principles (PBE) data for a geometry-optimized Ac6InGe2Te3 structure, as listed in Alexandria.

Results
* crystal system: monoclinic
* E_tot: -4.918 eV per atom

```
data_Ac6InGe2Te3
_chemical_formula_sum 'Ac12 In2 Ge4 Te6'
_cell_length_a 20.704
_cell_length_b 4.665
_cell_length_c 9.612
_cell_angle_alpha 90.00
_cell_angle_beta 104.18
_cell_angle_gamma 90.00
_symmetry_space_group_name_H-M 'C 1 2/m 1'
_symmetry_Int_Tables_number 12
_symmetry_space_group_name_Hall '-C 2y'
loop_
_atom_site_label
_atom_site_type_symbol
_atom_site_fract_x
_atom_site_fract_y
_atom_site_fract_z
Ac1 Ac 0.007 0.000 0.255
Ac2 Ac 0.168 0.500 0.104
Ac3 Ac 0.173 0.500 0.568
In1 In 0.000 0.500 0.000
Ge1 Ge 0.167 0.000 0.334
Te1 Te 0.000 0.500 0.500
Te2 Te 0.165 0.000 0.832
```

=====

Entry 5:
First-principles (PBE) data for a geometry-optimized AcTmInGe structure, as listed in Alexandria.

Results
* crystal system: cubic
* formation energy from the elements: -0.41 eV per atom

```
data_AcTmInGe
_chemical_formula_sum 'Ac4 Tm4 In4 Ge4'
_cell_length_a 7.670
_cell_length_b 7.670
_cell_length_c 7.670
_cell_angle_alpha 90.00
_cell_angle_beta 90.00
_cell_angle_gamma 90.00
_symmetry_space_group_name_H-M 'F -4 3 m'
_symmetry_Int_Tables_number 216
_symmetry_space_group_name_Hall 'F -4 2 3'
loop_
_atom_site_label
_atom_site_type_symbol
_atom_site_fract_x
_atom_site_fract_y
_atom_site_fract_z
Ac1 Ac 0.000 0.000 0.000
Tm1 Tm 0.000 0.000 0.500
In1 In 0.250 0.250 0.250
Ge1 Ge 0.250 0.250 0.750
```

=====

Entry 6:
First-principles (PBE) data for a geometry-optimized AcYInGe structure, as listed in Alexandria.

Results
* crystal system: cubic
* formation energy from the elements: -0.44 eV per atom

```
data_AcYInGe
_chemical_formula_sum 'Ac4 Y4 In4 Ge4'
_cell_length_a 7.714
_cell_length_b 7.714
_cell_length_c 7.714
_cell_angle_alpha 90.00
_cell_angle_beta 90.00
_cell_angle_gamma 90.00
_symmetry_space_group_name_H-M 'F -4 3 m'
_symmetry_Int_Tables_number 216
_symmetry_space_group_name_Hall 'F -4 2 3'
loop_
_atom_site_label
_atom_site_type_symbol
_atom_site_fract_x
_atom_site_fract_y
_atom_site_fract_z
Ac1 Ac 0.000 0.000 0.000
Y1 Y 0.000 0.000 0.500
In1 In 0.250 0.250 0.750
Ge1 Ge 0.250 0.250 0.250
```

=====

Entry 7:
First-principles (PBE) data for a geometry-optimized AcZnInGe structure, as listed in Alexandria.

Results
* crystal system: cubic
* formation energy from the elements: -0.25 eV per atom

```
data_AcZnInGe
_chemical_formula_sum 'Ac4 Zn4 In4 Ge4'
_cell_length_a 7.387
_cell_length_b 7.387
_cell_length_c 7.387
_cell_angle_alpha 90.00
_cell_angle_beta 90.00
_cell_angle_gamma 90.00
_symmetry_space_group_name_H-M 'F -4 3 m'
_symmetry_Int_Tables_number 216
_symmetry_space_group_name_Hall 'F -4 2 3'
loop_
_atom_site_label
_atom_site_type_symbol
_atom_site_fract_x
_atom_site_fract_y
_atom_site_fract_z
Ac1 Ac 0.000 0.000 0.000
Zn1 Zn 0.250 0.250 0.250
In1 In 0.000 0.000 0.500
Ge1 Ge 0.250 0.250 0.750
```

=====

Entry 8:
First-principles (PBE) data for a geometry-optimized Ac3Zn2InGe6 structure, as listed in Alexandria.

Results
* crystal system: trigonal
* formation energy from the elements: -0.33 eV per atom

```
data_Ac3Zn2InGe6
_chemical_formula_sum 'Ac3 Zn2 In1 Ge6'
_cell_length_a 6.3192
_cell_length_b 6.3192
_cell_length_c 8.9984
_cell_angle_alpha 90.00
_cell_angle_beta 90.00
_cell_angle_gamma 120.00
_symmetry_space_group_name_H-M 'P -3 m 1'
_symmetry_Int_Tables_number 164
_symmetry_space_group_name_Hall '-P 3 2"'
loop_
_atom_site_label
_atom_site_type_symbol
_atom_site_fract_x
_atom_site_fract_y
_atom_site_fract_z
Ac1 Ac 0.0000 0.0000 0.0000
Ac2 Ac 0.3333 0.6667 0.6248
Zn1 Zn 0.3333 0.6667 0.0035
In1 In 0.0000 0.0000 0.5000
Ge1 Ge 0.1967 0.3934 0.2730
```